# 1
{"formula": "RbNa12Hg5", "functional": "PBE-GGA", "state": "relaxed", "lattice_angstrom": [[-1.726, 7.469, 5.358], [-7.125, -5.562, -2.406], [5.175, -6.472, 4.337]], "species": ["Rb", "Na", "Na", "Na", "Na", "Na", "Na", "Na", "Na", "Na", "Na", "Na", "Na", "Hg", "Hg", "Hg", "Hg", "Hg"], "frac_coords": [[0.000, 0.500, 0.500], [0.555, 0.823, 0.732], [0.445, 0.177, 0.268], [0.909, 0.177, 0.732], [0.091, 0.823, 0.268], [0.690, 0.687, 0.377], [0.310, 0.313, 0.623], [0.310, 0.687, 0.997], [0.690, 0.313, 0.003], [0.803, 0.577, 0.774], [0.197, 0.423, 0.226], [0.197, 0.971, 0.774], [0.803, 0.029, 0.226], [0.654, 0.654, 0.000], [0.346, 0.346, 0.000], [0.500, 0.120, 0.620], [0.500, 0.880, 0.380], [0.000, 0.000, 0.000]], "magnetic_moment_mub_per_fu": 0.000}

# 2
{"formula": "CeZnN", "functional": "PBE-GGA", "state": "relaxed", "lattice_angstrom": [[3.380, 0.000, 0.000], [0.000, 3.410, 0.238], [-1.690, -0.667, 9.655]], "species": ["Ce", "Ce", "Zn", "Zn", "N", "N"], "frac_coords": [[0.679, 0.750, 0.359], [0.321, 0.250, 0.641], [0.951, 0.750, 0.903], [0.049, 0.250, 0.097], [0.798, 0.750, 0.596], [0.202, 0.250, 0.404]], "magnetic_moment_mub_per_fu": 0.349, "polymorph_energy_ev_per_atom": 0.040, "raw_formation_energy_kj_per_mol_atoms": -76.0}

# 3
{"formula": "Li2CuPt", "functional": "PBE-GGA", "state": "relaxed", "lattice_angstrom": [[2.683, 1.096, 2.978], [-1.404, 1.192, 3.725], [0.547, -2.454, 3.309]], "species": ["Cu", "Pt", "Li", "Li"], "frac_coords": [[0.000, 0.000, 0.000], [0.500, 0.500, 0.500], [0.250, 0.250, 0.250], [0.750, 0.750, 0.750]], "magnetic_moment_mub_per_fu": 0.000, "polymorph_energy_ev_per_atom": 0.064}

# 4
{"formula": "SmLuTl2", "functional": "PBE-GGA", "state": "relaxed", "lattice_angstrom": [[-1.953, -4.956, 0.723], [-0.076, -2.169, 4.919], [-4.677, -0.700, 2.557]], "species": ["Tl", "Tl", "Lu", "Sm"], "frac_coords": [[0.750, 0.750, 0.750], [0.250, 0.250, 0.250], [0.500, 0.500, 0.500], [0.000, 0.000, 0.000]], "magnetic_moment_mub_per_fu": 0.000, "polymorph_energy_ev_per_atom": 0.007}

# 5
{"formula": "Na3Pm2NdTe6", "functional": "PBE-GGA", "state": "relaxed", "lattice_angstrom": [[-2.065, 6.169, 4.395], [-4.487, -2.179, -6.062], [-1.759, -5.902, 5.119]], "species": ["Na", "Na", "Na", "Pm", "Pm", "Nd", "Te", "Te", "Te", "Te", "Te", "Te"], "frac_coords": [[0.166, 0.834, 0.500], [0.834, 0.166, 0.500], [0.500, 0.500, 0.500], [0.333, 0.667, 0.000], [0.667, 0.333, 0.000], [0.000, 0.000, 0.000], [0.921, 0.586, 0.762], [0.745, 0.745, 0.238], [0.079, 0.414, 0.238], [0.586, 0.921, 0.762], [0.255, 0.255, 0.762], [0.414, 0.079, 0.238]], "magnetic_moment_mub_per_fu": 0.000, "raw_formation_energy_kj_per_mol_atoms": -128.3}

# 6
{"formula": "Ga4Ag2Au9", "functional": "PBE-GGA", "state": "relaxed", "lattice_angstrom": [[-3.347, 0.899, 2.795], [-0.127, -3.670, -2.517], [7.573, -8.315, 11.743]], "species": ["Ga", "Ga", "Ga", "Ga", "Ag", "Ag", "Au", "Au", "Au", "Au", "Au", "Au", "Au", "Au", "Au"], "frac_coords": [[0.333, 0.667, 0.369], [0.667, 0.333, 0.631], [0.667, 0.333, 0.884], [0.333, 0.667, 0.116], [0.333, 0.667, 0.767], [0.667, 0.333, 0.233], [0.000, 0.000, 0.320], [0.000, 0.000, 0.680], [0.000, 0.000, 0.854], [0.000, 0.000, 0.146], [0.333, 0.667, 0.578], [0.667, 0.333, 0.422], [0.667, 0.333, 0.048], [0.333, 0.667, 0.952], [0.000, 0.000, 0.500]], "magnetic_moment_mub_per_fu": 0.000}

# 7
{"formula": "MoOs", "functional": "PBE-GGA", "state": "relaxed", "lattice_angstrom": [[-1.410, -3.126, 3.633], [4.425, 0.606, 2.239], [-1.842, 3.850, 2.598]], "species": ["Mo", "Mo", "Mo", "Mo", "Os", "Os", "Os", "Os"], "frac_coords": [[0.399, 0.399, 0.399], [0.101, 0.601, 0.899], [0.601, 0.899, 0.101], [0.899, 0.101, 0.601], [0.103, 0.103, 0.103], [0.397, 0.897, 0.603], [0.897, 0.603, 0.397], [0.603, 0.397, 0.897]], "magnetic_moment_mub_per_fu": 0.000}

# 8
{"formula": "TaPd2F", "functional": "PBE-GGA", "state": "relaxed", "lattice_angstrom": [[6.895, 0.000, 0.000], [0.000, 6.895, 0.000], [3.448, 3.448, 2.612]], "species": ["F", "F", "Pd", "Pd", "Pd", "Pd", "Ta", "Ta"], "frac_coords": [[0.500, 0.500, 0.000], [0.250, 0.750, 0.500], [0.611, 0.125, 0.250], [0.139, 0.625, 0.250], [0.375, 0.389, 0.750], [0.875, 0.861, 0.750], [0.000, 0.000, 0.000], [0.750, 0.250, 0.500]], "magnetic_moment_mub_per_fu": 0.000, "polymorph_energy_ev_per_atom": 0.000, "raw_formation_energy_kj_per_mol_atoms": -30.8}

# 9
{"formula": "CsYSe2Br", "functional": "PBE-GGA", "state": "relaxed", "lattice_angstrom": [[-2.891, -2.218, -4.542], [-3.107, -3.347, 3.613], [-4.118, 4.356, 0.494]], "species": ["Cs", "Y", "Se", "Se", "Br"], "frac_coords": [[0.000, 0.000, 0.000], [0.500, 0.500, 0.500], [0.000, 0.500, 0.000], [0.500, 0.000, 0.000], [0.000, 0.000, 0.500]], "magnetic_moment_mub_per_fu": 0.304, "polymorph_energy_ev_per_atom": 1.701, "raw_formation_energy_kj_per_mol_atoms": 28.0}

# 10
{"formula": "Os2IO2", "functional": "PBE-GGA", "state": "relaxed", "lattice_angstrom": [[4.038, 0.000, 0.000], [0.000, 4.038, 0.000], [2.019, 2.019, 4.923]], "species": ["I", "Os", "Os", "O", "O"], "frac_coords": [[0.000, 0.000, 0.000], [0.750, 0.250, 0.500], [0.250, 0.750, 0.500], [0.315, 0.315, 0.370], [0.685, 0.685, 0.630]], "magnetic_moment_mub_per_fu": 0.000, "polymorph_energy_ev_per_atom": 0.000, "raw_formation_energy_kj_per_mol_atoms": 68.8}

# 11
{"formula": "ErInPtO6", "functional": "PBE-GGA", "state": "relaxed", "lattice_angstrom": [[-3.028, -3.456, -1.708], [-0.606, -1.719, 4.551], [-7.743, 6.148, 1.290]], "species": ["Er", "Er", "In", "In", "Pt", "Pt", "O", "O", "O", "O", "O", "O", "O", "O", "O", "O", "O", "O"], "frac_coords": [[0.500, 0.500, 0.164], [0.000, 0.000, 0.664], [0.500, 0.500, 0.500], [0.000, 0.000, 0.000], [0.500, 0.500, 0.834], [0.000, 0.000, 0.334], [0.190, 0.810, 0.485], [0.810, 0.190, 0.485], [0.310, 0.310, 0.985], [0.690, 0.690, 0.985], [0.184, 0.816, 0.182], [0.816, 0.184, 0.182], [0.316, 0.316, 0.682], [0.684, 0.684, 0.682], [0.781, 0.219, 0.834], [0.219, 0.781, 0.834], [0.719, 0.719, 0.334], [0.281, 0.281, 0.334]], "magnetic_moment_mub_per_fu": 0.347, "raw_formation_energy_kj_per_mol_atoms": -142.4}

# 12
{"formula": "Hg3P", "functional": "PBE-GGA", "state": "relaxed", "lattice_angstrom": [[-6.579, 0.372, -3.037], [-5.036, -2.885, -4.355], [-0.559, -1.647, 3.418]], "species": ["Hg", "Hg", "Hg", "P"], "frac_coords": [[0.500, 0.500, 0.500], [0.801, 0.801, 0.800], [0.199, 0.199, 0.200], [0.000, 0.000, 0.000]], "magnetic_moment_mub_per_fu": 0.000, "polymorph_energy_ev_per_atom": 0.130}

no.,raw total energy (eV per atom)
1,-1.133
2,-5.965
3,-3.808
4,-3.811
5,-4.420
6,-3.232
7,-10.771
8,-6.347
9,-2.902
10,-6.072
11,-6.263
12,-1.371